## Co2RhF (PBE with a Hubbard U)

Data for an optimized crystal structure of Co2RhF.

a b c (Å): 4.132 4.132 4.132
angles (deg): 60.00 60.00 60.00
Atoms (fractional coordinates):
Co1 0.750 0.750 0.750
Co2 0.250 0.250 0.250
F1 0.000 0.000 0.000
Rh1 0.500 0.500 0.500

symmetry = No. 225
energy above the most stable polymorph in this dataset = 394.1 meV/atom
calculated density = 7984 kg/m³
size of the total moment = 5.32 μB per cell